Crystalline Tm3CoHg at its relaxed geometry, computed with PBE.

Summary:
The polymorph energy (0 for the lowest one) is 0.1506 eV per atom. As for the calculated volume: 130.8 Å³/cell. The calculation puts the energy of formation at -0.159 eV per atom.

Cell lengths 5.0767, 5.0767, 5.0767 Å; angles 90.00, 90.00, 90.00 degrees
Fractional coordinates of all 5 atoms:
1 Tm 0.0000 0.5000 0.0000
2 Hg 0.5000 0.5000 0.5000
3 Tm 0.0000 0.0000 0.5000
4 Tm 0.5000 0.0000 0.0000
5 Co 0.0000 0.0000 0.0000



Crystalline AsWSN2 at its relaxed geometry, computed with PBE.

Summary:
The polymorph energy (0 for the lowest one) is 0.0000 eV per atom. Its formation energy without anion corrections is 0.563 eV per atom. As for the calculated volume: 76.5 Å³/cell.

Cell lengths 3.9118, 3.9118, 4.9992 Å; angles 90.00, 90.00, 90.00 degrees
Last column: magnetic moment on the atom in μB.
Fractional coordinates of all 5 atoms:
1 W 0.0000 0.0000 0.0000  0.07
2 N 0.5000 0.0000 0.0000  -0.02
3 As 0.5000 0.5000 0.5000  0.20
4 N 0.0000 0.5000 0.0000  -0.02
5 S 0.0000 0.0000 0.5000  -0.01